Entry 1:
! TaReS2, optimized geometry, DFT GGA-PBE; values from VASP
! Uncorrected formation energy: -85 kJ/mol of formula units
! E above lowest polymorph: 0 kJ/mol of formula units
! Final energy: -33.43 eV per cell
&SYSTEM
  ibrav = 0, nat = 4, ntyp = 3
/
ATOMIC_SPECIES
Re 186.21 Re.upf
S 32.06 S.upf
Ta 180.95 Ta.upf
CELL_PARAMETERS angstrom
6.061 4.372 3.580
7.451 3.481 1.018
5.673 5.956 1.005
ATOMIC_POSITIONS angstrom
Re 0.000 0.000 0.000
S 17.365 12.499 5.071
S 1.821 1.310 0.532
Ta 9.593 6.905 2.801

***

Entry 2:
! TbReS, optimized geometry, DFT GGA-PBE; values from VASP
! Uncorrected formation energy: -228 kJ/mol of formula units
! Final energy: -47.13 eV per cell
&SYSTEM
  ibrav = 0, nat = 6, ntyp = 3
/
ATOMIC_SPECIES
Tb 158.93 Tb.upf
S 32.06 S.upf
Re 186.21 Re.upf
CELL_PARAMETERS angstrom
3.631 0.000 0.000
0.000 3.631 0.000
0.000 0.000 8.736
ATOMIC_POSITIONS angstrom
Tb 0.000 1.816 6.182
Tb 1.816 0.000 2.554
S 1.816 0.000 5.624
S 0.000 1.816 3.112
Re 0.000 1.816 0.547
Re 1.816 0.000 8.189